1.
Computed, not measured: crystalline La5Os3 at its relaxed geometry at the PBEsol level of DFT.

abc: 6.2144 8.4721 8.4721
angles: 82.27 68.48 68.48
Closest atoms and distances in Å follow each position.
Sites, in units of the cell vectors:
La1 0.7500 0.5000 0.5000  4 Os 2.88, 2 La 3.11
La2 0.2500 0.5000 0.5000  4 Os 2.88, 2 La 3.11
La3 0.4128 0.8775 0.2969  4 Os 2.96-3.09, 1 La 3.20
La4 0.5872 0.1225 0.7031  4 Os 2.96-3.09, 1 La 3.20
La5 0.9128 0.2969 0.8775  4 Os 2.96-3.09, 1 La 3.20
La6 0.0872 0.7031 0.1225  4 Os 2.96-3.09, 1 La 3.20
La7 0.2097 0.8775 0.7031  4 Os 2.96-3.09, 1 La 3.20
La8 0.7903 0.1225 0.2969  4 Os 2.96-3.09, 1 La 3.20
La9 0.2903 0.2969 0.1225  4 Os 2.96-3.09, 1 La 3.20
La10 0.7097 0.7031 0.8775  4 Os 2.96-3.09, 1 La 3.20
Os1 0.7500 0.0000 0.0000  8 La 2.97, 2 Os 3.11
Os2 0.2500 0.0000 0.0000  8 La 2.97, 2 Os 3.11
Os3 0.3465 0.5000 0.8070  6 La 2.88-3.09
Os4 0.6535 0.5000 0.1930  6 La 2.88-3.09
Os5 0.8465 0.8070 0.5000  6 La 2.88-3.09
Os6 0.1535 0.1930 0.5000  6 La 2.88-3.09

final energy = -7.9437 eV per atom
symmetry = I4/mcm
energy above the most stable polymorph in this dataset = 0.3 kJ/mol of atoms
formation energy = -0.021 eV per atom



2.
Computed, not measured: crystalline MgSb2Te at its relaxed geometry at the PBEsol level of DFT.

abc: 3.0922 3.0923 11.2226
angles: 90.00 90.00 83.46
Closest atoms and distances in Å follow each position.
Sites, in units of the cell vectors:
Sb1 0.0000 0.0000 0.7025  4 Mg 3.07-3.24, 4 Sb 3.09
Sb2 0.0000 0.0000 0.2975  4 Mg 3.07-3.24, 4 Sb 3.09
Mg1 0.5000 0.5000 0.5000  8 Sb 3.07-3.24, 4 Mg 3.09
Te1 0.5000 0.5000 0.0000  4 Te 3.09

E_form (uncorrected) = 0.0129 eV/atom
final energy = -3.5765 eV per atom
symmetry = Cmmm
energy above the most stable polymorph in this dataset = 3.1 kJ/mol of atoms



3.
Computed, not measured: crystalline Cu2IBr at its relaxed geometry at the PBEsol level of DFT.

abc: 5.7435 5.7435 7.0627
angles: 113.99 113.99 90.00
Closest atoms and distances in Å follow each position.
Sites, in units of the cell vectors:
I1 0.2500 0.7500 0.5000  4 Cu 2.55
I2 0.0000 0.0000 0.0000  4 Cu 2.55
Cu1 0.3912 0.8750 0.2500  2 Br 2.44, 2 I 2.55
Cu2 0.8588 0.3750 0.2500  2 Br 2.44, 2 I 2.55
Cu3 0.1250 0.1412 0.7500  2 Br 2.44, 2 I 2.55
Cu4 0.6250 0.6088 0.7500  2 Br 2.44, 2 I 2.55
Br1 0.7500 0.2500 0.5000  4 Cu 2.44
Br2 0.5000 0.5000 0.0000  4 Cu 2.44

E_form (uncorrected) = -0.1522 eV/atom
final energy = -3.2285 eV per atom
symmetry = I-42d



4.
Computed, not measured: crystalline CaMgBr2 at its relaxed geometry at the PBEsol level of DFT.

abc: 4.2631 4.2631 6.6150
angles: 108.80 108.80 90.00
Closest atoms and distances in Å follow each position.
Sites, in units of the cell vectors:
Br1 0.0000 0.0000 0.0000  4 Ca 3.01
Br2 0.7500 0.2500 0.5000  4 Mg 3.01
Ca1 0.5000 0.5000 0.0000  4 Br 3.01
Mg1 0.2500 0.7500 0.5000  4 Br 3.01

E_form (uncorrected) = -0.9409 eV/atom
final energy = -2.8384 eV per atom
symmetry = I-4m2



| no. | M_tot (μB per atom) |
| --- | --- |
| 1 | 0.000 |
| 2 | 0.000 |
| 3 | 0.000 |
| 4 | 0.000 |